No. 1
A plane-wave DFT calculation with GGA-PBE was carried out for an optimized crystal structure of CaMgAg.

a = 4.7725 Å, b = 5.6935 Å, c = 6.3399 Å
α = 99.14°, β = 112.11°, γ = 90.00°
Last column: nearest neighbours and their distance in Å.
Positions (direct):
Ca: 0.1215 0.3061 0.2430  4 Ag 3.04-3.25
Ca: 0.8785 0.6939 0.7570  4 Ag 3.04-3.25
Mg: 0.4121 0.2300 0.8241  3 Ag 2.83-2.88
Mg: 0.5879 0.7700 0.1759  3 Ag 2.83-2.88
Ag: 0.2182 0.8447 0.4365  3 Mg 2.83-2.88, 2 Ag 2.99, 2 Ca 3.04-3.08
Ag: 0.7818 0.1553 0.5635  3 Mg 2.83-2.88, 2 Ag 2.99, 2 Ca 3.04-3.08

Calculated values
Total energy: -14.2 eV for the cell shown
Mass density: 3.6 g cm⁻³
Formation energy from the elements: -212.9 meV/atom

=====

No. 2
A plane-wave DFT calculation with GGA-PBE was carried out for an optimized crystal structure of Sc6Si2Se3S.

a = 3.8216 Å, b = 7.7537 Å, c = 8.6318 Å
α = 103.85°, β = 102.79°, γ = 90.00°
Last column: nearest neighbours and their distance in Å.
Positions (direct):
Sc: 0.3366 0.9045 0.6733  2 Si 2.65, 1 S 2.67, 3 Se 2.78-2.81
Sc: 0.6685 0.5763 0.3370  3 Si 2.68, 3 Se 2.75-2.79
Sc: 0.6634 0.0955 0.3267  2 Si 2.65, 1 S 2.67, 3 Se 2.78-2.81
Sc: 0.0067 0.2414 0.0134  1 Si 2.62, 2 S 2.66, 3 Se 2.79-2.80
Sc: 0.9933 0.7586 0.9866  1 Si 2.62, 2 S 2.66, 3 Se 2.79-2.80
Sc: 0.3315 0.4237 0.6630  3 Si 2.68, 3 Se 2.75-2.79
Si: 0.8327 0.6659 0.6654  6 Sc 2.62-2.68
Si: 0.1673 0.3341 0.3346  6 Sc 2.62-2.68
Se: 0.5000 0.5000 0.0000  6 Sc 2.75-2.79
Se: 0.8354 0.1639 0.6707  6 Sc 2.78-2.81
Se: 0.1646 0.8361 0.3293  6 Sc 2.78-2.81
S: 0.5000 0.0000 0.0000  6 Sc 2.66-2.67

Calculated values
Total energy: -80.1 eV for the cell shown
Mass density: 4.1 g cm⁻³

=====

> Number 1 is which compound?

CaMgAg